Entry from Alexandria: a crystal of SrSb3 relaxed with PBEsol (meta-GGA SCAN).

Output
The calculation puts the uncorrected formation energy at -279 meV per atom. The value obtained for the density of states at the Fermi level is 1.6 states/eV per cell.

a = 4.838 Å, b = 4.838 Å, c = 6.659 Å
α = 90.00°, β = 90.00°, γ = 120.00°
Atoms (fractional coordinates):
1 Sb 0.000 0.000 0.771
2 Sb 0.000 0.000 0.229
3 Sb 0.333 0.667 0.000
4 Sr 0.333 0.667 0.500

Entry from Alexandria: a crystal of Li2CaC2 relaxed with PBEsol (meta-GGA SCAN).

Output
The value obtained for the offset from the most stable computed form is 0 meV/atom. The value obtained for the density of states at the Fermi level is 1.1 states/eV per cell.

a = 3.551 Å, b = 3.551 Å, c = 5.168 Å
α = 110.10°, β = 110.10°, γ = 90.00°
Atoms (fractional coordinates):
1 Li 0.750 0.250 0.500
2 Li 0.250 0.750 0.500
3 Ca 0.000 0.000 0.000
4 C 0.578 0.578 0.155
5 C 0.422 0.422 0.845

Entry from Alexandria: a crystal of BeZnTc2 relaxed with PBEsol (meta-GGA SCAN).

Output
The value obtained for the offset from the most stable computed form is 0 meV/atom. The value obtained for the density of states at the Fermi level is 1.5 states/eV per cell.

a = 2.892 Å, b = 2.892 Å, c = 6.046 Å
α = 90.00°, β = 90.00°, γ = 90.00°
Atoms (fractional coordinates):
1 Tc 0.500 0.500 0.228
2 Tc 0.000 0.000 0.988
3 Be 0.500 0.500 0.754
4 Zn 0.000 0.000 0.530

Entry from Alexandria: a crystal of ScSiP2 relaxed with PBEsol (meta-GGA SCAN).

Output
The calculation puts the uncorrected formation energy at -313 meV per atom. The value obtained for the density of states at the Fermi level is 1.2 states/eV per cell.

a = 3.446 Å, b = 3.446 Å, c = 5.192 Å
α = 90.00°, β = 90.00°, γ = 90.00°
Atoms (fractional coordinates):
1 Sc 0.500 0.500 0.000
2 Si 0.500 0.500 0.500
3 P 0.000 0.000 0.261
4 P 0.000 0.000 0.739

Entry from Alexandria: a crystal of Hf5ZnSb3 relaxed with PBEsol (meta-GGA SCAN).

Output
The calculation puts the uncorrected formation energy at -590 meV per atom. The value obtained for the density of states at the Fermi level is 6.9 states/eV per cell.

a = 5.703 Å, b = 8.488 Å, c = 8.488 Å
α = 120.00°, β = 90.00°, γ = 90.00°
Atoms (fractional coordinates):
1 Hf 0.750 0.731 0.731
2 Hf 0.000 0.667 0.333
3 Hf 0.500 0.333 0.667
4 Hf 0.250 0.000 0.731
5 Hf 0.750 0.269 0.000
6 Hf 0.500 0.667 0.333
7 Hf 0.000 0.333 0.667
8 Hf 0.750 0.000 0.269
9 Hf 0.250 0.269 0.269
10 Hf 0.250 0.731 0.000
11 Sb 0.250 0.386 0.000
12 Sb 0.750 0.000 0.614
13 Sb 0.750 0.614 0.000
14 Sb 0.250 0.614 0.614
15 Sb 0.750 0.386 0.386
16 Sb 0.250 0.000 0.386
17 Zn 0.000 0.000 0.000
18 Zn 0.500 0.000 0.000

Entry from Alexandria: a crystal of BeFePO2 relaxed with PBEsol (meta-GGA SCAN).

Output
The calculation puts the uncorrected formation energy at -398 meV per atom. The value obtained for the density of states at the Fermi level is 2.1 states/eV per cell.

a = 3.172 Å, b = 3.172 Å, c = 5.807 Å
α = 90.00°, β = 90.00°, γ = 90.00°
Each line ends with the local moment (μB).
Atoms (fractional coordinates):
1 P 0.000 0.000 0.500  0.02
2 O 0.000 0.500 0.000  0.53
3 O 0.500 0.000 0.000  0.53
4 Fe 0.500 0.500 0.500  2.09
5 Be 0.000 0.000 0.000  -0.02

Entry from Alexandria: a crystal of AlFe3 relaxed with PBEsol (meta-GGA SCAN).

Output
The value obtained for the density of states at the Fermi level is 3.9 states/eV per cell.

a = 4.521 Å, b = 4.521 Å, c = 4.521 Å
α = 90.00°, β = 90.00°, γ = 90.00°
Each line ends with the local moment (μB).
Atoms (fractional coordinates):
1 Fe 0.250 0.500 0.000  2.47
2 Fe 0.500 0.000 0.250  2.47
3 Fe 0.750 0.500 0.000  2.47
4 Fe 0.500 0.000 0.750  2.47
5 Fe 0.000 0.750 0.500  2.47
6 Fe 0.000 0.250 0.500  2.47
7 Al 0.500 0.500 0.500  -0.12
8 Al 0.000 0.000 0.000  -0.12

Entry from Alexandria: a crystal of ErGeRh relaxed with PBEsol (meta-GGA SCAN).

Output
The value obtained for the density of states at the Fermi level is 4.7 states/eV per cell.

a = 4.237 Å, b = 6.770 Å, c = 7.426 Å
α = 90.00°, β = 90.00°, γ = 90.00°
Atoms (fractional coordinates):
1 Er 0.750 0.997 0.805
2 Er 0.250 0.503 0.305
3 Er 0.250 0.003 0.195
4 Er 0.750 0.497 0.695
5 Rh 0.750 0.344 0.067
6 Rh 0.750 0.844 0.433
7 Rh 0.250 0.656 0.933
8 Rh 0.250 0.156 0.567
9 Ge 0.750 0.713 0.107
10 Ge 0.250 0.287 0.893
11 Ge 0.250 0.787 0.607
12 Ge 0.750 0.213 0.393

Entry from Alexandria: a crystal of Li2MgTc relaxed with PBEsol (meta-GGA SCAN).

Output
The value obtained for the density of states at the Fermi level is 2.2 states/eV per cell.

a = 2.529 Å, b = 4.435 Å, c = 5.580 Å
α = 90.00°, β = 90.00°, γ = 90.00°
Each line ends with the local moment (μB).
Atoms (fractional coordinates):
1 Mg 0.000 0.000 0.529  -0.01
2 Tc 0.500 0.500 0.744  0.53
3 Li 0.000 0.000 0.987  0.00
4 Li 0.500 0.500 0.240  0.00

Entry from Alexandria: a crystal of Sr3WN3 relaxed with PBEsol (meta-GGA SCAN).

Output
The calculation puts the uncorrected formation energy at -979 meV per atom. The value obtained for the density of states at the Fermi level is 2.1 states/eV per cell.

a = 5.300 Å, b = 7.869 Å, c = 7.869 Å
α = 120.00°, β = 90.00°, γ = 90.00°
Atoms (fractional coordinates):
1 N 0.250 0.113 0.695
2 N 0.250 0.305 0.418
3 N 0.750 0.418 0.113
4 N 0.250 0.582 0.887
5 N 0.750 0.887 0.305
6 N 0.750 0.695 0.582
7 Sr 0.750 0.256 0.352
8 Sr 0.250 0.904 0.256
9 Sr 0.750 0.648 0.904
10 Sr 0.250 0.744 0.648
11 Sr 0.250 0.352 0.096
12 Sr 0.750 0.096 0.744
13 W 0.750 0.667 0.333
14 W 0.250 0.333 0.667

Entry from Alexandria: a crystal of SrBeCu2 relaxed with PBEsol (meta-GGA SCAN).

Output
The value obtained for the density of states at the Fermi level is 1.7 states/eV per cell.

a = 4.058 Å, b = 4.824 Å, c = 4.824 Å
α = 68.69°, β = 65.13°, γ = 65.13°
Atoms (fractional coordinates):
1 Sr 0.506 0.494 0.494
2 Cu 0.974 0.026 0.026
3 Cu 0.672 0.828 0.828
4 Be 0.348 0.152 0.152

Entry from Alexandria: a crystal of ZnHg2Mo relaxed with PBEsol (meta-GGA SCAN).

Output
The value obtained for the density of states at the Fermi level is 2.6 states/eV per cell.

a = 2.962 Å, b = 2.962 Å, c = 9.414 Å
α = 80.95°, β = 80.95°, γ = 60.00°
Atoms (fractional coordinates):
1 Hg 0.251 0.251 0.246
2 Hg 0.749 0.749 0.754
3 Mo 0.500 0.500 0.500
4 Zn 0.000 0.000 0.000

Result set for total DFT energy (no corrections): -135.2 -34.2 -88.5 -46.3 -888.0 -47.3 -125.6 -426.7 -43.7 -342.5 -55.7 -182.9 eV per cell, one per record in the order listed.
Result set for total moment: 0.00 0.00 0.00 0.00 0.00 3.35 13.95 0.00 0.54 0.00 0.00 0.00 μB/cell, one per record in the order listed.